[1]
A plane-wave DFT calculation with GGA-PBE was carried out for crystalline Li4Sm3HfSe8 at its relaxed geometry.

Lattice parameters (Å, degrees): 8.0969 8.0969 19.5859 90.00 90.00 120.00
Closest atoms and distances in Å follow each position.
Space group R-3m (No. 166, hexagonal axes)
Symmetry-distinct sites (fractional):
Li: 0.0000 0.0000 0.0000 (multiplicity 3)  6 Se 2.96
Li: 0.0000 0.5000 0.0000 (multiplicity 9)  6 Se 2.78-2.80
Sm: 0.0000 0.5000 0.5000 (multiplicity 9)  6 Se 2.90-2.92
Hf: 0.0000 0.0000 0.5000 (multiplicity 3)  6 Se 2.75
Se: 0.0000 0.0000 0.2547 (multiplicity 6)  3 Li 2.80, 3 Sm 2.90
Se: 0.0204 0.5102 0.2509 (multiplicity 18)  1 Hf 2.75, 3 Li 2.78-2.96, 2 Sm 2.92

* total magnetic moment: 0.000 μB per cell
* total energy: -253.58 eV per cell
* N(E_F): 0.2506 states/eV per atom

---

[2]
A plane-wave DFT calculation with GGA-PBE was carried out for crystalline LiHfSn2Se5 at its relaxed geometry.

Lattice parameters (Å, degrees): 3.8702 17.3086 14.0488 90.00 90.00 90.00
Closest atoms and distances in Å follow each position.
Space group Cmc2_1 (No. 36)
Symmetry-distinct sites (fractional):
Li: 0.0000 0.0710 0.0000 (multiplicity 4)  4 Se 2.56-2.63
Hf: 0.0000 0.2735 0.5738 (multiplicity 4)  6 Se 2.62-2.79
Sn: 0.0000 0.3948 0.8126 (multiplicity 4)  3 Se 2.77-2.85
Sn: 0.0000 0.4047 0.1910 (multiplicity 4)  5 Se 2.75-3.04
Se: 0.0000 0.0151 0.8260 (multiplicity 4)  1 Li 2.63, 2 Sn 2.85
Se: 0.0000 0.1158 0.5546 (multiplicity 4)  1 Hf 2.74, 2 Sn 2.75
Se: 0.0000 0.2163 0.9486 (multiplicity 4)  1 Li 2.62, 2 Hf 2.62
Se: 0.0000 0.2457 0.2150 (multiplicity 4)  1 Sn 2.77, 2 Hf 2.79
Se: 0.0000 0.4220 0.6185 (multiplicity 4)  2 Li 2.56, 1 Hf 2.65, 1 Sn 2.77

* total magnetic moment: 0.000 μB per cell
* total energy: -178.08 eV per cell
* N(E_F): 0.1599 states/eV per atom

---

[3]
A plane-wave DFT calculation with GGA-PBE was carried out for crystalline Li2TbHf2Se6 at its relaxed geometry.

Lattice parameters (Å, degrees): 6.6734 11.6649 6.9173 90.00 108.83 90.00
Closest atoms and distances in Å follow each position.
Space group C2/m (No. 12)
Symmetry-distinct sites (fractional):
Li: 0.0000 0.1626 0.0000 (multiplicity 4)  6 Se 2.73-2.82
Tb: 0.0000 0.0000 0.5000 (multiplicity 2)  6 Se 2.86
Hf: 0.0000 0.3340 0.5000 (multiplicity 4)  6 Se 2.71
Se: 0.2304 0.5000 0.7479 (multiplicity 4)  2 Hf 2.71, 2 Li 2.80, 1 Tb 2.86
Se: 0.2443 0.3239 0.2540 (multiplicity 8)  2 Hf 2.71, 2 Li 2.73-2.82, 1 Tb 2.86

* total magnetic moment: 0.000 μB per cell
* total energy: -130.18 eV per cell
* N(E_F): 0.3472 states/eV per atom

---

[4]
A plane-wave DFT calculation with GGA-PBE was carried out for crystalline Li3Tb2HfSe6 at its relaxed geometry.

Lattice parameters (Å, degrees): 6.8746 11.9077 6.9075 90.00 109.43 90.00
Closest atoms and distances in Å follow each position.
Space group C2/m (No. 12)
Symmetry-distinct sites (fractional):
Li: 0.0000 0.0000 0.0000 (multiplicity 2)  6 Se 2.75-2.90
Li: 0.0000 0.3345 0.0000 (multiplicity 4)  6 Se 2.75-2.90
Tb: 0.0000 0.1670 0.5000 (multiplicity 4)  6 Se 2.87-2.88
Hf: 0.0000 0.5000 0.5000 (multiplicity 2)  6 Se 2.72-2.74
Se: 0.2327 0.5000 0.2490 (multiplicity 4)  1 Hf 2.72, 3 Li 2.75-2.90, 2 Tb 2.87
Se: 0.2435 0.3417 0.7543 (multiplicity 8)  1 Hf 2.74, 3 Li 2.75-2.90, 2 Tb 2.87-2.88

* total magnetic moment: 0.000 μB per cell
* total energy: -128.59 eV per cell
* N(E_F): 0.3171 states/eV per atom

---

[5]
A plane-wave DFT calculation with GGA-PBE was carried out for crystalline LiTbHfSe4 at its relaxed geometry.

Lattice parameters (Å, degrees): 7.8636 8.2521 11.4657 90.00 90.00 90.00
Closest atoms and distances in Å follow each position.
Space group Imma (No. 74)
Symmetry-distinct sites (fractional):
Li: 0.0000 0.2500 0.1250 (multiplicity 4)  4 Se 2.55-2.66
Tb: 0.0000 0.0000 0.5000 (multiplicity 4)  6 Se 2.86-2.89
Hf: 0.2500 0.2500 0.7500 (multiplicity 4)  6 Se 2.68-2.72
Se: 0.0000 0.0230 0.7515 (multiplicity 8)  1 Li 2.66, 2 Hf 2.72, 1 Tb 2.89
Se: 0.2504 0.2500 0.5166 (multiplicity 8)  1 Li 2.55, 1 Hf 2.68

* total magnetic moment: 0.000 μB per cell
* total energy: -164.59 eV per cell

---

[6]
A plane-wave DFT calculation with GGA-PBE was carried out for crystalline LiHfTeSe at its relaxed geometry.

Lattice parameters (Å, degrees): 3.8527 3.8527 20.9199 90.00 90.00 120.00
Closest atoms and distances in Å follow each position.
Space group R3m (No. 160, hexagonal axes)
Symmetry-distinct sites (fractional):
Li: 0.0000 0.0000 0.0000 (multiplicity 3)  3 Se 2.66
Hf: 0.0000 0.0000 0.5201 (multiplicity 3)  3 Se 2.74, 3 Te 2.89
Te: 0.0000 0.0000 0.7652 (multiplicity 3)  3 Hf 2.89, 3 Li 3.03
Se: 0.0000 0.0000 0.2636 (multiplicity 3)  3 Li 2.66, 3 Hf 2.74

* total magnetic moment: 0.000 μB per cell
* total energy: -67.88 eV per cell
* N(E_F): 0.4252 states/eV per atom

---

[7]
A plane-wave DFT calculation with GGA-PBE was carried out for crystalline Li2Hf2TiSe6 at its relaxed geometry.

Lattice parameters (Å, degrees): 6.4401 11.1559 6.9421 90.00 108.28 90.00
Closest atoms and distances in Å follow each position.
Space group C2/m (No. 12)
Symmetry-distinct sites (fractional):
Li: 0.0000 0.1703 0.0000 (multiplicity 4)  6 Se 2.73-2.75
Hf: 0.0000 0.3335 0.5000 (multiplicity 4)  6 Se 2.68-2.69
Ti: 0.0000 0.0000 0.5000 (multiplicity 2)  6 Se 2.65
Se: 0.2464 0.1636 0.7421 (multiplicity 8)  1 Ti 2.65, 2 Hf 2.69, 2 Li 2.73-2.74
Se: 0.2467 0.0000 0.2584 (multiplicity 4)  1 Ti 2.65, 2 Hf 2.68, 2 Li 2.75

* total magnetic moment: 2.375 μB per cell
* total energy: -133.37 eV per cell
* N(E_F): 0.5304 states/eV per atom

---

[8]
A plane-wave DFT calculation with GGA-PBE was carried out for crystalline Li2HfTiSe4 at its relaxed geometry.

Lattice parameters (Å, degrees): 6.4569 3.7286 6.8688 90.00 108.22 90.00
Closest atoms and distances in Å follow each position.
Space group P2/m (No. 10)
Symmetry-distinct sites (fractional):
Li: 0.0000 0.0000 0.0000 (multiplicity 1)  6 Se 2.74-2.75
Li: 0.5000 0.5000 0.0000 (multiplicity 1)  6 Se 2.71
Hf: 0.0000 0.5000 0.5000 (multiplicity 1)  6 Se 2.69
Ti: 0.5000 0.0000 0.5000 (multiplicity 1)  6 Se 2.66
Se: 0.2525 0.0000 0.7454 (multiplicity 2)  1 Ti 2.66, 2 Hf 2.69, 3 Li 2.71-2.74
Se: 0.2572 0.5000 0.2587 (multiplicity 2)  2 Ti 2.66, 1 Hf 2.69, 3 Li 2.71-2.75

* total magnetic moment: 1.321 μB per cell
* total energy: -45.59 eV per cell
* N(E_F): 0.5382 states/eV per atom

---

[9]
A plane-wave DFT calculation with GGA-PBE was carried out for crystalline Li4Hf3TiSe8 at its relaxed geometry.

Lattice parameters (Å, degrees): 7.4667 7.4667 19.7259 90.00 90.00 120.00
Closest atoms and distances in Å follow each position.
Space group R-3m (No. 166, hexagonal axes)
Symmetry-distinct sites (fractional):
Li: 0.0000 0.0000 0.0000 (multiplicity 3)  6 Se 2.75
Li: 0.0000 0.5000 0.0000 (multiplicity 9)  6 Se 2.71-2.72
Hf: 0.0000 0.5000 0.5000 (multiplicity 9)  6 Se 2.70-2.71
Ti: 0.0000 0.0000 0.5000 (multiplicity 3)  6 Se 2.67
Se: 0.0000 0.0000 0.2498 (multiplicity 6)  3 Hf 2.71, 3 Li 2.71
Se: 0.0038 0.5019 0.2485 (multiplicity 18)  1 Ti 2.67, 2 Hf 2.70, 3 Li 2.72-2.75

* total magnetic moment: 4.026 μB per cell
* total energy: -280.40 eV per cell
* N(E_F): 0.4608 states/eV per atom

---

[10]
A plane-wave DFT calculation with GGA-PBE was carried out for crystalline LiHf3Tl4Se8 at its relaxed geometry.

Lattice parameters (Å, degrees): 7.7944 7.7944 23.7591 90.00 90.00 120.00
Closest atoms and distances in Å follow each position.
Space group R-3m (No. 166, hexagonal axes)
Symmetry-distinct sites (fractional):
Li: 0.0000 0.0000 0.0000 (multiplicity 3)  6 Se 2.75
Hf: 0.0000 0.5000 0.0000 (multiplicity 9)  6 Se 2.69-2.73
Tl: 0.0000 0.0000 0.5000 (multiplicity 3)  6 Se 3.29
Tl: 0.0000 0.5000 0.5000 (multiplicity 9)  6 Se 3.30-3.34
Se: 0.0000 0.0000 0.2685 (multiplicity 6)  3 Hf 2.73
Se: 0.0066 0.5033 0.2696 (multiplicity 18)  2 Hf 2.69, 1 Li 2.75

* total magnetic moment: 0.000 μB per cell
* total energy: -253.43 eV per cell
* N(E_F): 0.3673 states/eV per atom

---

[11]
A plane-wave DFT calculation with GGA-PBE was carried out for crystalline LiHfTl2Se at its relaxed geometry.

Lattice parameters (Å, degrees): 5.7514 5.7514 5.0828 90.00 90.00 90.00
Closest atoms and distances in Å follow each position.
Space group P4/mmm (No. 123)
Symmetry-distinct sites (fractional):
Li: 0.0000 0.0000 0.0000 (multiplicity 1)  8 Tl 3.84, 4 Se 4.07
Hf: 0.5000 0.5000 0.5000 (multiplicity 1)  2 Se 2.54
Tl: 0.0000 0.5000 0.5000 (multiplicity 2)  2 Hf 2.88
Se: 0.5000 0.5000 0.0000 (multiplicity 1)  2 Hf 2.54

* total magnetic moment: 0.000 μB per cell
* total energy: -20.00 eV per cell
* N(E_F): 0.7795 states/eV per atom

---

[12]
A plane-wave DFT calculation with GGA-PBE was carried out for crystalline LiHfTlSe3 at its relaxed geometry.

Lattice parameters (Å, degrees): 8.8824 3.9386 9.4175 90.00 108.37 90.00
Closest atoms and distances in Å follow each position.
Space group P2_1/m (No. 11)
Symmetry-distinct sites (fractional):
Li: 0.0739 0.2500 0.1032 (multiplicity 2)  4 Se 2.50-2.59, 2 Li 2.79
Hf: 0.3224 0.7500 0.3443 (multiplicity 2)  6 Se 2.60-2.77
Tl: 0.2138 0.2500 0.7627 (multiplicity 2)  7 Se 3.35-3.53, 2 Li 3.75
Se: 0.1307 0.2500 0.3808 (multiplicity 2)  1 Li 2.50, 2 Hf 2.69
Se: 0.2237 0.7500 0.0531 (multiplicity 2)  3 Li 2.50-2.59, 1 Hf 2.60
Se: 0.4626 0.7500 0.6515 (multiplicity 2)  3 Hf 2.73-2.77

* total magnetic moment: 0.000 μB per cell
* total energy: -62.44 eV per cell